Er3PuAl8 PBE optimized geometry; spin magnetization = 0.51 μB per atom; space-group type = R3m, No. 160; formation energy = -450 meV per atom; uncorrected energy = -5.28 eV per atom; distance to the lowest polymorph of the same formula = 0.000 eV/atom
1.0
-3.0011 -0.5538 4.6068
2.5008 -1.0221 4.8205
0.5319 8.3785 4.6679
Er Pu Al
3 1 8
direct
0.3753 0.3753 0.8742
0.9981 0.9981 0.0058
0.5015 0.5015 0.4956
0.8748 0.8748 0.3755
0.9390 0.4376 0.1859
0.4375 0.9367 0.6891
0.4376 0.4376 0.1859
0.9367 0.9367 0.6891
0.1877 0.1877 0.4370
0.6877 0.6877 0.9370
0.4376 0.9390 0.1859
0.9367 0.4375 0.6891

---

Ce2UGe3Ir4 PBE optimized geometry; spin magnetization = 0.32 μB per atom; space-group type = P-4m2, No. 115; formation energy = -697 meV per atom; uncorrected energy = -7.94 eV per atom
1.0
4.2278 0.0000 0.0000
0.0000 4.2278 0.0000
0.0000 0.0000 11.0091
Ce U Ge Ir
2 1 3 4
direct
0.5000 0.0000 0.2311
0.0000 0.5000 0.7689
0.5000 0.5000 0.5000
0.0000 0.0000 0.5000
0.5000 0.0000 0.8762
0.0000 0.5000 0.1238
0.5000 0.5000 0.0000
0.0000 0.0000 0.0000
0.5000 0.0000 0.6517
0.0000 0.5000 0.3483

---

> Which of these has the highest formation energy?

Er3PuAl8